1.
## LiBe2P (PBE)

Data for a relaxed LiBe2P crystal.

```
8
Lattice="4.4431 0.0000 -0.0129 0.0000 3.6007 0.0000 -1.5890 0.0000 6.4775" Properties=species:S:1:pos:R:3 pbc="T T T"
Be 1.7560 0.9002 2.7532
Be 1.0981 2.7005 3.7113
Be 3.0209 2.7005 2.7678
Be -0.1668 0.9002 3.6968
P -0.5501 2.7005 4.9287
P 3.4042 0.9002 1.5359
Li 0.8600 2.7005 1.0297
Li 1.9941 0.9002 5.4349
```

Output
Total energy = -3.93 eV/atom
Energy of formation = -0.24 eV per atom

---

2.
## LiBe2P (PBE)

Data for a relaxed LiBe2P crystal.

```
4
Lattice="3.1189 0.0000 0.0000 0.0000 3.1174 0.0000 0.0000 0.0000 4.6431" Properties=species:S:1:pos:R:3 pbc="T T T"
Be 0.0000 0.0000 2.4233
Be 0.0000 0.0000 4.5414
P 1.5594 1.5587 3.4823
Li 1.5594 1.5587 1.1608
```

Output
Total energy = -3.58 eV/atom
Energy of formation = 0.11 eV per atom

---

3.
## Li2BeP (PBE)

Data for a relaxed Li2BeP crystal.

```
4
Lattice="4.5694 0.0048 -0.0032 1.9184 4.1471 0.0032 -3.2426 -2.0779 2.4590" Properties=species:S:1:pos:R:3 pbc="T T T"
P 2.2853 0.0014 1.2279
Li 6.4866 4.1511 0.0000
Li 3.2451 2.0767 0.0000
Be 0.9598 2.0726 1.2311
```

Output
Total energy = -3.42 eV/atom
Energy of formation = -0.18 eV per atom

---

4.
## LiBe2P (PBE)

Data for a relaxed LiBe2P crystal.

```
4
Lattice="2.5514 0.0000 0.0000 0.0000 2.5514 0.0000 0.0000 0.0000 7.2503" Properties=species:S:1:pos:R:3 pbc="T T T"
Li 1.2757 1.2757 1.8126
P 1.2757 1.2757 5.4377
Be 0.0000 0.0000 7.0980
Be 0.0000 0.0000 3.7774
```

Output
Total energy = -3.27 eV/atom
Energy of formation = 0.43 eV per atom

---

5.
## LiBe2P (PBE)

Data for a relaxed LiBe2P crystal.

```
16
Lattice="3.9353 0.0000 0.0000 0.0000 12.6899 0.0000 0.0000 0.0000 4.1138" Properties=species:S:1:pos:R:3 pbc="T T T"
P 0.9838 7.8442 1.6370
P 0.9838 1.4992 3.6939
P 2.9515 11.1906 3.6939
P 2.9515 4.8457 1.6370
Be 0.0000 6.3449 2.9673
Be 0.9838 5.7779 0.8065
Be 2.9515 6.9119 0.8065
Be 1.9676 0.0000 0.9104
Be 1.9676 6.3449 2.9673
Be 0.9838 12.1229 2.8634
Be 2.9515 0.5670 2.8634
Be 0.0000 0.0000 0.9104
Li 0.9838 3.9562 3.0674
Li 2.9515 2.3887 1.0105
Li 2.9515 8.7336 3.0674
Li 0.9838 10.3012 1.0105
```

Output
Total energy = -3.93 eV/atom
Energy of formation = -0.23 eV per atom

---

6.
## LiBeP4 (PBE)

Data for a relaxed LiBeP4 crystal.

```
6
Lattice="-0.5209 -4.9465 -0.5712 -1.1269 -2.8705 3.9441 -4.5320 -2.0975 0.3562" Properties=species:S:1:pos:R:3 pbc="T T T"
Be -1.5450 -2.4786 0.9323
P -3.8471 -6.1720 2.3214
P -3.5918 -3.7477 2.6014
P -3.2948 -4.7652 0.3884
P -1.6259 -5.1440 2.1468
Li 0.0000 0.0000 0.0000
```

Output
Total energy = -4.09 eV/atom
Energy of formation = 0.46 eV per atom

---

7.
## LiBe2P (PBE)

Data for a relaxed LiBe2P crystal.

```
4
Lattice="4.3087 -0.0061 -0.0119 1.6412 3.9839 0.0119 -2.9585 -2.0135 2.3997" Properties=species:S:1:pos:R:3 pbc="T T T"
Li 2.9651 1.9823 0.0000
P 0.8147 1.9702 1.2058
Be 2.1589 -0.0178 1.1939
Be 0.0277 0.0185 0.0000
```

Output
Total energy = -3.63 eV/atom
Energy of formation = 0.06 eV per atom

---

8.
## LiBe2P (PBE)

Data for a relaxed LiBe2P crystal.

```
4
Lattice="-2.5271 1.4938 -2.4970 -1.7655 0.3066 1.9702 2.0437 3.8820 0.2541" Properties=species:S:1:pos:R:3 pbc="T T T"
Be -0.1722 2.0640 1.4091
Be -1.4541 0.3369 1.6732
P -1.0549 3.8884 0.4197
Li -1.1940 1.7941 -0.6925
```

Output
Total energy = -3.65 eV/atom
Energy of formation = 0.05 eV per atom

---

9.
## LiBe2P (PBE)

Data for a relaxed LiBe2P crystal.

```
4
Lattice="-2.2565 1.8440 0.1096 -1.5972 -1.8607 -1.5783 -1.7370 -2.3980 4.5849" Properties=species:S:1:pos:R:3 pbc="T T T"
Li -0.8578 -1.1842 2.2642
P -3.3066 -1.9132 2.9077
Be -2.2569 -0.4640 0.1369
Be -0.0379 -0.0523 0.0999
```

Output
Total energy = -3.55 eV/atom
Energy of formation = 0.14 eV per atom

---

10.
## Li2BeP2 (PBE)

Data for a relaxed Li2BeP2 crystal.

```
10
Lattice="-4.4239 2.4817 -2.8543 -2.2163 -5.2601 -1.1384 -2.1533 0.1557 3.4728" Properties=species:S:1:pos:R:3 pbc="T T T"
Li -5.4527 0.4132 -0.9920
Li -3.3408 -3.0359 0.4722
Li -2.9043 -0.0290 0.6080
Li -5.8892 -2.5937 -1.1278
P -3.1077 0.8660 -1.9658
P -3.5325 -3.6445 -2.0269
P -5.2342 -1.1927 -3.1920
P -1.4059 -1.5857 -0.8007
Be -3.3201 -1.3892 -1.9963
Be 0.0000 0.0000 0.0000
```

Output
Total energy = -4.08 eV/atom
Energy of formation = -0.41 eV per atom

---

11.
## Li2BeP (PBE)

Data for a relaxed Li2BeP crystal.

```
4
Lattice="3.0876 0.0000 0.0000 0.0000 3.0876 0.0000 0.0000 0.0000 5.5335" Properties=species:S:1:pos:R:3 pbc="T T T"
Li 0.0000 0.0000 5.4119
Li 1.5438 1.5438 1.5224
Be 1.5438 1.5438 3.9301
P 0.0000 0.0000 2.9693
```

Output
Total energy = -3.28 eV/atom
Energy of formation = -0.04 eV per atom

---

12.
## LiBe2P (PBE)

Data for a relaxed LiBe2P crystal.

```
4
Lattice="4.0562 0.0087 0.0008 3.2702 2.3996 0.0008 1.0296 0.3385 5.0560" Properties=species:S:1:pos:R:3 pbc="T T T"
Be 8.2070 2.6978 4.8460
Be 6.1978 2.0373 4.2342
P 2.2194 0.7295 1.0041
Li 4.2659 1.4023 2.5598
```

Output
Total energy = -3.55 eV/atom
Energy of formation = 0.15 eV per atom